Computed, not measured: a relaxed In3Pt12Pb crystal at the PBE-GGA level of DFT.

a = 4.068 Å, b = 4.068 Å, c = 16.288 Å
α = 90.00°, β = 90.00°, γ = 90.00°
Space group P4/mmm (No. 123)
Inequivalent atoms, fractional coordinates:
In (0.000, 0.000, 0.000) [1 per cell]
In (0.000, 0.000, 0.246) [2 per cell]
Pt (0.000, 0.500, 0.123) [4 per cell]
Pt (0.000, 0.500, 0.370) [4 per cell]
Pt (0.500, 0.500, 0.000) [1 per cell]
Pt (0.500, 0.500, 0.247) [2 per cell]
Pt (0.500, 0.500, 0.500) [1 per cell]
Pb (0.000, 0.000, 0.500) [1 per cell]

Properties
Formation enthalpy at 0 K, meV per atom: -313
Size of the total moment, μB/f.u.: 0.0
Calculated volume, Å³ per atom: 16.8
Energy, eV/f.u.: -89.42

Computed, not measured: a relaxed Tb6Ga2Ag crystal at the PBE-GGA level of DFT.

a = 9.650 Å, b = 9.792 Å, c = 10.359 Å
α = 90.00°, β = 90.00°, γ = 90.00°
Space group Immm (No. 71)
Inequivalent atoms, fractional coordinates:
Tb (0.000, 0.206, 0.176) [8 per cell]
Tb (0.178, 0.228, 0.500) [8 per cell]
Tb (0.197, 0.500, 0.251) [8 per cell]
Ga (0.000, 0.000, 0.378) [4 per cell]
Ga (0.143, 0.000, 0.000) [4 per cell]
Ag (0.000, 0.500, 0.000) [2 per cell]
Ag (0.000, 0.500, 0.500) [2 per cell]

Properties
Offset from the most stable computed form, meV/atom: 0.0
Formation enthalpy at 0 K, meV per atom: -334
Size of the total moment, μB/f.u.: 0.0
Calculated volume, Å³ per atom: 27.2
Energy, eV/f.u.: -39.69

Computed, not measured: a relaxed TbPr2Mg4 crystal at the PBE-GGA level of DFT.

a = 5.481 Å, b = 5.481 Å, c = 14.711 Å
α = 90.00°, β = 90.00°, γ = 90.00°
Space group I4/mmm (No. 139)
Inequivalent atoms, fractional coordinates:
Tb (0.000, 0.000, 0.000) [2 per cell]
Pr (0.000, 0.000, 0.254) [4 per cell]
Mg (0.000, 0.500, 0.113) [8 per cell]

Properties
Formation enthalpy at 0 K, meV per atom: 113
Size of the total moment, μB/f.u.: 0.0
Calculated volume, Å³ per atom: 31.6
Energy, eV/f.u.: -19.78

Computed, not measured: a relaxed SrY2Be crystal at the PBE-GGA level of DFT.

a = 4.869 Å, b = 4.869 Å, c = 4.865 Å
α = 90.00°, β = 90.00°, γ = 90.00°
Space group P4/mmm (No. 123)
Inequivalent atoms, fractional coordinates:
Sr (0.000, 0.000, 0.000) [1 per cell]
Y (0.000, 0.500, 0.500) [2 per cell]
Be (0.500, 0.500, 0.000) [1 per cell]

Properties
Formation enthalpy at 0 K, meV per atom: 480
Size of the total moment, μB/f.u.: 0.0
Calculated volume, Å³ per atom: 28.8
Energy, eV/f.u.: -16.42

Computed, not measured: a relaxed TePPd3 crystal at the PBE-GGA level of DFT.

a = 4.584 Å, b = 4.584 Å, c = 4.584 Å
α = 90.00°, β = 90.00°, γ = 90.00°
Space group Pm-3m (No. 221)
Inequivalent atoms, fractional coordinates:
Te (0.000, 0.000, 0.000) [1 per cell]
P (0.500, 0.500, 0.500) [1 per cell]
Pd (0.000, 0.500, 0.500) [3 per cell]

Properties
Offset from the most stable computed form, meV/atom: 0.0
Size of the total moment, μB/f.u.: 0.0
Calculated volume, Å³ per atom: 19.3
Raw formation energy, kcal/mol of atoms: -2.2
Energy, eV/f.u.: -24.61

Computed, not measured: a relaxed CaMnCoMo2 crystal at the PBE-GGA level of DFT.

a = 4.545 Å, b = 4.545 Å, c = 4.438 Å
α = 90.00°, β = 90.00°, γ = 90.00°
Space group P4/mmm (No. 123)
Inequivalent atoms, fractional coordinates:
Ca (0.000, 0.000, 0.000) [1 per cell]
Mn (0.000, 0.000, 0.500) [1 per cell]
Co (0.500, 0.500, 0.500) [1 per cell]
Mo (0.000, 0.500, 0.000) [2 per cell]

Properties
Formation enthalpy at 0 K, meV per atom: 2751
Size of the total moment, μB/f.u.: 2.3
Calculated volume, Å³ per atom: 18.3
Energy, eV/f.u.: -26.19

Computed, not measured: a relaxed CaAcCu2F8 crystal at the PBE-GGA level of DFT.

a = 6.0527 Å, b = 6.0527 Å, c = 7.2470 Å
α = 90.00°, β = 90.00°, γ = 120.00°
Space group P-3m1 (No. 164)
Inequivalent atoms, fractional coordinates:
Ca (0.0000, 0.0000, 0.0000) [1 per cell]
Ac (0.0000, 0.0000, 0.5000) [1 per cell]
Cu (0.3333, 0.6667, 0.6985) [2 per cell]
F (0.1481, 0.2962, 0.7717) [6 per cell]
F (0.3333, 0.6667, 0.4363) [2 per cell]

Properties
Size of the total moment, μB/f.u.: 1.0
Calculated volume, Å³ per atom: 19.2
Raw formation energy, kcal/mol of atoms: -62.7
Energy, eV/f.u.: -61.92

Computed, not measured: a relaxed MgNi2N2 crystal at the PBE-GGA level of DFT.

a = 3.486 Å, b = 3.486 Å, c = 5.183 Å
α = 90.00°, β = 90.00°, γ = 90.00°
Space group P-4m2 (No. 115)
Inequivalent atoms, fractional coordinates:
Mg (0.000, 0.000, 0.000) [1 per cell]
Ni (0.500, 0.500, 0.270) [2 per cell]
N (0.000, 0.500, 0.751) [2 per cell]

Properties
Size of the total moment, μB/f.u.: 0.0
Calculated volume, Å³ per atom: 12.6
Raw formation energy, kcal/mol of atoms: 3.2
Energy, eV/f.u.: -29.11